Entry 1:
# Tb7Er2Th, relaxed, DFT PBE
# DFT formation energy	0.720	eV per atom
# Fermi-level density of states	16.8	states/eV/f.u.
# VASP energy	-4.175	eV per atom
data_Tb7Er2Th
_symmetry_space_group_name_H-M 'C m m m'
_symmetry_Int_Tables_number 65
_symmetry_space_group_name_Hall '-C 2 2'
_cell_length_a 8.7576
_cell_length_b 16.8671
_cell_length_c 5.2920
_cell_angle_alpha 90.00
_cell_angle_beta 90.00
_cell_angle_gamma 90.00
loop_
_atom_site_label
_atom_site_fract_x
_atom_site_fract_y
_atom_site_fract_z
_atom_site_occupancy
Tb1 0.0000 0.0000 0.0000 1
Tb2 0.0000 0.3003 0.5000 1
Tb3 0.1778 0.3900 0.0000 1
Er1 0.0000 0.2015 0.0000 1
Th1 0.0000 0.5000 0.5000 1


Entry 2:
# Tb2TmGa3Pt4, relaxed, DFT PBE
# DFT formation energy	-0.990	eV per atom
# Fermi-level density of states	5.7	states/eV/f.u.
# VASP energy	-5.688	eV per atom
data_Tb2TmGa3Pt4
_symmetry_space_group_name_H-M 'P -4 m 2'
_symmetry_Int_Tables_number 115
_symmetry_space_group_name_Hall 'P -4 -2'
_cell_length_a 4.1497
_cell_length_b 4.1497
_cell_length_c 11.5570
_cell_angle_alpha 90.00
_cell_angle_beta 90.00
_cell_angle_gamma 90.00
loop_
_atom_site_label
_atom_site_fract_x
_atom_site_fract_y
_atom_site_fract_z
_atom_site_occupancy
Tb1 0.0000 0.5000 0.2285 1
Tm1 0.0000 0.0000 0.5000 1
Ga1 0.0000 0.5000 0.8718 1
Ga2 0.5000 0.5000 0.5000 1
Pt1 0.0000 0.0000 0.0000 1
Pt2 0.0000 0.5000 0.6576 1
Pt3 0.5000 0.5000 0.0000 1